LiFe2Hg | PBE | relaxed

Lattice parameters (Å, degrees): 3.080 3.080 6.219 90.00 90.00 90.00
Space group P4mm (No. 99)
Inequivalent atoms, fractional coordinates:
1 Li 0.000 0.000 0.000
2 Fe 0.000 0.000 0.428
3 Fe 0.500 0.500 0.257
4 Hg 0.500 0.500 0.733

Values from the calculation:
The calculation puts the calculated volume at 14.75 Å³/atom. The density of states at the Fermi level is 3.00 states/eV per cell. For the calculated total energy, the calculation gives -4.610 eV per atom.